1.
Compound: ZnOs2Ru
Source: Alexandria
Functional: GGA-PBEsol
Structure: relaxed

## Properties
E_tot = -8.574 eV per atom
Magnetic moment = 0.9 μB per formula unit

Unit cell a=2.7385 b=4.5785 c=8.9358 alpha=90.00 beta=90.00 gamma=90.00
Closest atoms and distances in Å follow each position.
Atoms (fractional coordinates):
Zn  0.0000  0.0000  0.0000  4 Os 2.62, 6 Zn 2.67-2.74
Zn  0.5000  0.5000  0.0000  4 Os 2.62, 6 Zn 2.67-2.74
Os  0.0000  0.5000  0.2495  2 Zn 2.62, 2 Ru 2.62, 6 Os 2.67-2.74
Os  0.0000  0.5000  0.7505  2 Zn 2.62, 2 Ru 2.62, 6 Os 2.67-2.74
Os  0.5000  0.0000  0.2495  2 Zn 2.62, 2 Ru 2.62, 6 Os 2.67-2.74
Os  0.5000  0.0000  0.7505  2 Zn 2.62, 2 Ru 2.62, 6 Os 2.67-2.74
Ru  0.0000  0.0000  0.5000  4 Os 2.62, 6 Ru 2.67-2.74
Ru  0.5000  0.5000  0.5000  4 Os 2.62, 6 Ru 2.67-2.74

***

2.
Compound: ZrOsRu2
Source: Alexandria
Functional: GGA-PBEsol
Structure: relaxed

## Properties
E_tot = -10.418 eV per atom
Magnetic moment = 0.0 μB per formula unit
Excess energy over the best structure of this formula in the dataset = 0.131 eV per formula unit

Unit cell a=4.7001 b=2.8299 c=4.7722 alpha=90.00 beta=108.52 gamma=90.00
Closest atoms and distances in Å follow each position.
Atoms (fractional coordinates):
Zr  0.0000  0.0000  0.0000  6 Ru 2.74-2.77, 4 Os 2.77, 2 Zr 2.83
Os  0.0000  0.5000  0.5000  6 Ru 2.74-2.77, 4 Zr 2.77, 2 Os 2.83
Ru  0.5000  0.0000  0.5000  4 Os 2.74, 2 Zr 2.77, 6 Ru 2.77-2.83
Ru  0.5000  0.5000  0.0000  4 Zr 2.74, 2 Os 2.77, 6 Ru 2.77-2.83

***

3.
Compound: ZrOsRu2
Source: Alexandria
Functional: GGA-PBEsol
Structure: relaxed

## Properties
E_tot = -10.405 eV per atom
Magnetic moment = 0.0 μB per formula unit
Excess energy over the best structure of this formula in the dataset = 0.184 eV per formula unit

Unit cell a=2.8066 b=3.8136 c=5.7134 alpha=90.00 beta=90.00 gamma=90.00
Closest atoms and distances in Å follow each position.
Atoms (fractional coordinates):
Zr  0.0000  0.0000  0.0000  2 Zr 2.81, 6 Ru 2.81-2.88, 4 Os 2.88
Os  0.5000  0.5000  0.2877  5 Ru 2.56-2.65, 2 Os 2.81
Ru  0.0000  0.0000  0.4966  4 Os 2.65, 6 Ru 2.73-2.81, 2 Zr 2.84-2.88
Ru  0.5000  0.5000  0.7358  1 Os 2.56, 6 Ru 2.73-2.81, 4 Zr 2.81

***

4.
Compound: ZrOsRu2
Source: Alexandria
Functional: GGA-PBEsol
Structure: relaxed

## Properties
E_tot = -10.423 eV per atom
Magnetic moment = 0.0 μB per formula unit
Excess energy over the best structure of this formula in the dataset = 0.111 eV per formula unit

Unit cell a=9.1472 b=2.8305 c=4.8114 alpha=90.00 beta=100.88 gamma=90.00
Closest atoms and distances in Å follow each position.
Atoms (fractional coordinates):
Zr  0.0000  0.0000  0.0000  6 Ru 2.79-2.88, 4 Os 2.79, 2 Zr 2.83
Zr  0.5000  0.5000  0.0000  6 Ru 2.79-2.88, 4 Os 2.79, 2 Zr 2.83
Os  0.0000  0.5000  0.5000  6 Ru 2.66-2.78, 4 Zr 2.79, 2 Os 2.83
Os  0.5000  0.0000  0.5000  6 Ru 2.66-2.78, 4 Zr 2.79, 2 Os 2.83
Ru  0.2401  0.0000  0.7194  4 Ru 2.58-2.83, 3 Os 2.66-2.78, 3 Zr 2.79-2.88
Ru  0.2599  0.5000  0.2806  4 Ru 2.58-2.83, 3 Os 2.66-2.78, 3 Zr 2.79-2.88
Ru  0.7401  0.5000  0.7194  4 Ru 2.58-2.83, 3 Os 2.66-2.78, 3 Zr 2.79-2.88
Ru  0.7599  0.0000  0.2806  4 Ru 2.58-2.83, 3 Os 2.66-2.78, 3 Zr 2.79-2.88

***

5.
Compound: ZrOsRu2
Source: Alexandria
Functional: GGA-PBEsol
Structure: relaxed

## Properties
E_tot = -10.451 eV per atom
Magnetic moment = 0.0 μB per formula unit
Excess energy over the best structure of this formula in the dataset = 0.000 eV per formula unit

Unit cell a=5.6012 b=7.5350 c=2.8420 alpha=90.00 beta=90.00 gamma=90.00
Closest atoms and distances in Å follow each position.
Atoms (fractional coordinates):
Zr  0.0000  0.0000  0.0000  8 Ru 2.74, 2 Os 2.80, 2 Zr 2.84
Zr  0.5000  0.5000  0.0000  8 Ru 2.74, 2 Os 2.80, 2 Zr 2.84
Os  0.0000  0.5000  0.0000  8 Ru 2.74, 2 Zr 2.80, 2 Os 2.84
Os  0.5000  0.0000  0.0000  8 Ru 2.74, 2 Zr 2.80, 2 Os 2.84
Ru  0.2500  0.2500  0.5000  4 Zr 2.74, 4 Os 2.74, 4 Ru 2.80-2.84
Ru  0.2500  0.7500  0.5000  4 Zr 2.74, 4 Os 2.74, 4 Ru 2.80-2.84
Ru  0.7500  0.2500  0.5000  4 Zr 2.74, 4 Os 2.74, 4 Ru 2.80-2.84
Ru  0.7500  0.7500  0.5000  4 Zr 2.74, 4 Os 2.74, 4 Ru 2.80-2.84

***

6.
Compound: OsS2
Source: Alexandria
Functional: GGA-PBEsol
Structure: relaxed

## Properties
E_tot = -7.496 eV per atom
Magnetic moment = 0.0 μB per formula unit

Unit cell a=5.6011 b=5.6011 c=5.6011 alpha=90.00 beta=90.00 gamma=90.00
Closest atoms and distances in Å follow each position.
Atoms (fractional coordinates):
Os  0.0000  0.0000  0.0000  6 S 2.34
Os  0.0000  0.5000  0.5000  6 S 2.34
Os  0.5000  0.0000  0.5000  6 S 2.34
Os  0.5000  0.5000  0.0000  6 S 2.34
S  0.1159  0.6159  0.8841  1 S 2.25, 3 Os 2.34
S  0.1159  0.8841  0.3841  1 S 2.25, 3 Os 2.34
S  0.3841  0.1159  0.8841  1 S 2.25, 3 Os 2.34
S  0.3841  0.3841  0.3841  1 S 2.25, 3 Os 2.34
S  0.6159  0.6159  0.6159  1 S 2.25, 3 Os 2.34
S  0.6159  0.8841  0.1159  1 S 2.25, 3 Os 2.34
S  0.8841  0.1159  0.6159  1 S 2.25, 3 Os 2.34
S  0.8841  0.3841  0.1159  1 S 2.25, 3 Os 2.34